TbY2TaN4 after structural relaxation, computed with GGA-PBE.

Cell lengths 5.834, 3.355, 5.843 Å; angles 90.00, 109.08, 90.00 degrees
Fractional coordinates of all 8 atoms:
1 Tb 0.000 0.000 0.000
2 Y 0.500 0.000 0.500
3 Y 0.500 0.500 0.000
4 Ta 0.000 0.500 0.500
5 N 0.227 0.000 0.726
6 N 0.234 0.500 0.268
7 N 0.766 0.500 0.732
8 N 0.773 0.000 0.274

Space-group type   P2/m, No. 10
Crystal system   monoclinic
E_form (uncorrected)   -1512 meV per atom
Fermi-level density of states   0.2379 states/eV per atom
Spin magnetization   0.000 μB per formula unit